No. 1
A geometry-optimized NbAs2PbBr structure, computed with PBE.

Output
As for the relative energy among the computed polymorphs: 117.6 kJ per mole of atoms. Its crystal system is tetragonal. For the energy relative to the elements, uncorrected, the calculation gives 1.25 eV/atom. The calculation puts the magnetic moment at 2.199 μB per cell. As for the density of states at the Fermi level: 4.61 states/eV per cell.

a b c (Å): 5.340 5.340 5.526
angles (deg): 90.00 90.00 90.00
Space group P4/mmm (No. 123)
Symmetry-distinct sites (fractional):
Nb 0.000 0.000 0.000 [1 per cell]
As 0.000 0.500 0.500 [2 per cell]
Pb 0.500 0.500 0.500 [1 per cell]
Br 0.500 0.500 0.000 [1 per cell]

No. 2
A geometry-optimized PmY3Ag4 structure, computed with PBE.

Output
The energy relative to the elements is -0.312 eV/atom. Its crystal system is orthorhombic. The calculation puts the magnetic moment at 0.000 μB per cell. As for the density of states at the Fermi level: 5.30 states/eV per cell.

a b c (Å): 3.637 5.211 10.414
angles (deg): 90.00 90.00 90.00
Space group Pmmm (No. 47)
Symmetry-distinct sites (fractional):
Pm 0.000 0.000 0.000 [1 per cell]
Y 0.000 0.000 0.500 [1 per cell]
Y 0.000 0.500 0.252 [2 per cell]
Ag 0.500 0.000 0.256 [2 per cell]
Ag 0.500 0.500 0.000 [1 per cell]
Ag 0.500 0.500 0.500 [1 per cell]

No. 3
A geometry-optimized Al5As structure, computed with PBE.

Output
The energy relative to the elements is 0.236 eV/atom. As for the relative energy among the computed polymorphs: 17.1 kJ per mole of atoms. Its crystal system is cubic. The calculation puts the magnetic moment at 0.000 μB per cell. As for the density of states at the Fermi level: 17.79 states/eV per cell.

a b c (Å): 7.531 7.531 7.531
angles (deg): 90.00 90.00 90.00
Space group F-43m (No. 216)
Symmetry-distinct sites (fractional):
Al 0.000 0.000 0.000 [4 per cell]
Al 0.125 0.125 0.625 [16 per cell]
As 0.250 0.250 0.250 [4 per cell]

No. 4
A geometry-optimized Al5Hg4 structure, computed with PBE.

Output
The energy relative to the elements is 0.243 eV/atom. As for the relative energy among the computed polymorphs: 5.5 kJ per mole of atoms. Its crystal system is hexagonal. The calculation puts the magnetic moment at 0.000 μB per cell. As for the density of states at the Fermi level: 8.40 states/eV per cell.

a b c (Å): 8.8879 8.8879 5.5344
angles (deg): 90.00 90.00 120.00
Space group P6_3/mcm (No. 193)
Symmetry-distinct sites (fractional):
Al 0.0000 0.3166 0.2500 [6 per cell]
Al 0.3333 0.6667 0.0000 [4 per cell]
Hg 0.0000 0.0000 0.0000 [2 per cell]
Hg 0.0000 0.3595 0.7500 [6 per cell]

No. 5
A geometry-optimized La12Pm6Y structure, computed with PBE.

Output
The energy relative to the elements is 0.017 eV/atom. Its crystal system is trigonal. The calculation puts the magnetic moment at 0.000 μB per cell. As for the density of states at the Fermi level: 109.88 states/eV per cell.

a b c (Å): 16.0994 16.0994 9.1048
angles (deg): 90.00 90.00 120.00
Space group R-3 (No. 148, hexagonal axes)
Symmetry-distinct sites (fractional):
La 0.0351 0.7553 0.3348 [18 per cell]
La 0.0705 0.5091 0.6663 [18 per cell]
Pm 0.0170 0.8784 0.6666 [18 per cell]
Y 0.0000 0.0000 0.0000 [3 per cell]

No. 6
A geometry-optimized Tl3CdPb3 structure, computed with PBE.

Output
The energy relative to the elements is 0.049 eV/atom. As for the relative energy among the computed polymorphs: 0.0 kJ per mole of atoms. Its crystal system is monoclinic. The calculation puts the magnetic moment at 0.000 μB per cell. As for the density of states at the Fermi level: 13.66 states/eV per cell.

a b c (Å): 10.316 8.151 11.547
angles (deg): 90.00 112.45 90.00
Space group P2_1/c (No. 14)
Symmetry-distinct sites (fractional):
Tl 0.063 0.125 0.115 [4 per cell]
Tl 0.353 0.135 0.668 [4 per cell]
Tl 0.362 0.669 0.550 [4 per cell]
Cd 0.103 0.540 0.931 [4 per cell]
Pb 0.157 0.703 0.212 [4 per cell]
Pb 0.180 0.152 0.876 [4 per cell]
Pb 0.372 0.024 0.358 [4 per cell]

No. 7
A geometry-optimized TbGdIn2 structure, computed with PBE.

Output
The energy relative to the elements is -0.490 eV/atom. Its crystal system is tetragonal. The calculation puts the magnetic moment at 7.024 μB per cell. As for the density of states at the Fermi level: 2.20 states/eV per cell.

a b c (Å): 3.563 3.563 8.523
angles (deg): 90.00 90.00 90.00
Space group P4/mmm (No. 123)
Symmetry-distinct sites (fractional):
Tb 0.000 0.000 0.000 [1 per cell]
Gd 0.000 0.000 0.500 [1 per cell]
In 0.500 0.500 0.248 [2 per cell]

No. 8
A geometry-optimized Li2GeRh2 structure, computed with PBE.

Output
The energy relative to the elements is -0.392 eV/atom. As for the relative energy among the computed polymorphs: 2.9 kJ per mole of atoms. Its crystal system is tetragonal. The calculation puts the magnetic moment at 0.000 μB per cell. As for the density of states at the Fermi level: 4.13 states/eV per cell.

a b c (Å): 6.195 6.195 4.058
angles (deg): 90.00 90.00 90.00
Space group P4/mbm (No. 127)
Symmetry-distinct sites (fractional):
Li 0.160 0.340 0.000 [4 per cell]
Ge 0.000 0.000 0.500 [2 per cell]
Rh 0.147 0.647 0.500 [4 per cell]

No. 9
A geometry-optimized ZrRe3Sn structure, computed with PBE.

Output
The energy relative to the elements is 2.169 eV/atom. As for the relative energy among the computed polymorphs: 0.0 kJ per mole of atoms. Its crystal system is cubic. The calculation puts the magnetic moment at 1.560 μB per cell. As for the density of states at the Fermi level: 6.76 states/eV per cell.

a b c (Å): 4.799 4.799 4.799
angles (deg): 90.00 90.00 90.00
Space group Pm-3m (No. 221)
Symmetry-distinct sites (fractional):
Zr 0.000 0.000 0.000 [1 per cell]
Re 0.000 0.500 0.500 [3 per cell]
Sn 0.500 0.500 0.500 [1 per cell]

No. 10
A geometry-optimized ThMgBiPd structure, computed with PBE.

Output
The energy relative to the elements is -0.372 eV/atom. Its crystal system is cubic. The calculation puts the magnetic moment at 0.000 μB per cell. As for the density of states at the Fermi level: 12.71 states/eV per cell.

a b c (Å): 7.367 7.367 7.367
angles (deg): 90.00 90.00 90.00
Space group F-43m (No. 216)
Symmetry-distinct sites (fractional):
Th 0.000 0.000 0.000 [4 per cell]
Mg 0.000 0.000 0.500 [4 per cell]
Bi 0.250 0.250 0.250 [4 per cell]
Pd 0.250 0.250 0.750 [4 per cell]

No. 11
A geometry-optimized NaHfMgRu2 structure, computed with PBE.

Output
The energy relative to the elements is 1.699 eV/atom. Its crystal system is tetragonal. The calculation puts the magnetic moment at 0.577 μB per cell. As for the density of states at the Fermi level: 5.53 states/eV per cell.

a b c (Å): 4.627 4.627 4.600
angles (deg): 90.00 90.00 90.00
Space group P4/mmm (No. 123)
Symmetry-distinct sites (fractional):
Na 0.000 0.000 0.000 [1 per cell]
Hf 0.000 0.000 0.500 [1 per cell]
Mg 0.500 0.500 0.500 [1 per cell]
Ru 0.000 0.500 0.000 [2 per cell]

No. 12
A geometry-optimized Ba2SrBr structure, computed with PBE.

Output
As for the relative energy among the computed polymorphs: 0.5 kJ per mole of atoms. Its crystal system is trigonal. For the energy relative to the elements, uncorrected, the calculation gives -0.75 eV/atom. The calculation puts the magnetic moment at 0.613 μB per cell. As for the density of states at the Fermi level: 15.10 states/eV per cell.

a b c (Å): 4.4184 4.4184 35.9831
angles (deg): 90.00 90.00 120.00
Space group R3m (No. 160, hexagonal axes)
Symmetry-distinct sites (fractional):
Ba 0.0000 0.0000 0.0000 [3 per cell]
Ba 0.0000 0.0000 0.2003 [3 per cell]
Sr 0.0000 0.0000 0.4331 [3 per cell]
Br 0.0000 0.0000 0.6003 [3 per cell]

Repeat the seventh record exactly.
A geometry-optimized TbGdIn2 structure, computed with PBE.

Output
The energy relative to the elements is -0.490 eV/atom. Its crystal system is tetragonal. The calculation puts the magnetic moment at 7.024 μB per cell. As for the density of states at the Fermi level: 2.20 states/eV per cell.

a b c (Å): 3.563 3.563 8.523
angles (deg): 90.00 90.00 90.00
Space group P4/mmm (No. 123)
Symmetry-distinct sites (fractional):
Tb 0.000 0.000 0.000 [1 per cell]
Gd 0.000 0.000 0.500 [1 per cell]
In 0.500 0.500 0.248 [2 per cell]

Question: What is the formula in the twelfth record?
Answer: Ba2SrBr